1.
Compound: MgOsW2
Source: the Alexandria database
Functional: PBE
Structure: optimized geometry

Summary:
As for the crystal system: tetragonal. The energy of formation comes out at 0.31 eV per atom.

Cell: 2.828 2.828 8.152 Å, 90.00 90.00 90.00°
Atoms (fractional coordinates):
Mg 0.000 0.000 0.000
Os 0.500 0.500 0.246
W 0.000 0.000 0.461
W 0.500 0.500 0.723

---

2.
Compound: Pr12Bi5C2
Source: the Alexandria database
Functional: PBE
Structure: optimized geometry

Summary:
As for the crystal system: monoclinic. The energy of formation comes out at -0.42 eV per atom.

Cell: 9.799 9.799 9.799 Å, 105.53 105.53 47.66°
Atoms (fractional coordinates):
Pr 0.002 0.002 0.332
Pr 0.094 0.609 0.424
Pr 0.113 0.599 0.937
Pr 0.391 0.906 0.576
Pr 0.401 0.887 0.063
Pr 0.496 0.496 0.313
Pr 0.504 0.504 0.687
Pr 0.599 0.113 0.937
Pr 0.609 0.094 0.424
Pr 0.887 0.401 0.063
Pr 0.906 0.391 0.576
Pr 0.998 0.998 0.668
Bi 0.000 0.000 0.000
Bi 0.296 0.296 0.151
Bi 0.314 0.314 0.658
Bi 0.686 0.686 0.342
Bi 0.704 0.704 0.849
C 0.262 0.738 0.500
C 0.738 0.262 0.500

---

3.
Compound: NdYHgPt
Source: the Alexandria database
Functional: PBE
Structure: optimized geometry

Summary:
As for the crystal system: cubic. The energy of formation comes out at -0.76 eV per atom.

Cell: 5.183 5.183 5.183 Å, 60.00 60.00 60.00°
Atoms (fractional coordinates):
Nd 0.000 0.000 0.000
Y 0.500 0.500 0.500
Hg 0.750 0.750 0.750
Pt 0.250 0.250 0.250

---

4.
Compound: ZrBe2P
Source: the Alexandria database
Functional: PBE
Structure: optimized geometry

Summary:
As for the crystal system: trigonal. The energy of formation comes out at 0.36 eV per atom.

Cell: 8.151 8.151 8.151 Å, 20.23 20.23 20.23°
Atoms (fractional coordinates):
Zr 0.000 0.000 0.000
Be 0.235 0.235 0.235
Be 0.765 0.765 0.765
P 0.500 0.500 0.500

---

5.
Compound: CeHoEr2
Source: the Alexandria database
Functional: PBE
Structure: optimized geometry

Summary:
The value obtained for the energy above the most stable polymorph in this dataset is 0.009 eV/atom. As for the crystal system: tetragonal. The energy of formation comes out at 0.06 eV per atom.

Cell: 4.962 4.962 4.951 Å, 90.00 90.00 90.00°
Atoms (fractional coordinates):
Ce 0.000 0.000 0.000
Ho 0.500 0.500 0.000
Er 0.000 0.500 0.500
Er 0.500 0.000 0.500

---

6.
Compound: ErPa2Ge3Ir4
Source: the Alexandria database
Functional: PBE
Structure: optimized geometry

Summary:
As for the crystal system: tetragonal. The energy of formation comes out at -0.70 eV per atom.

Cell: 4.071 4.071 11.534 Å, 90.00 90.00 90.00°
Atoms (fractional coordinates):
Er 0.000 0.000 0.000
Pa 0.000 0.500 0.726
Pa 0.500 0.000 0.274
Ge 0.000 0.500 0.377
Ge 0.500 0.000 0.623
Ge 0.500 0.500 0.000
Ir 0.000 0.000 0.500
Ir 0.000 0.500 0.166
Ir 0.500 0.000 0.834
Ir 0.500 0.500 0.500

---

7.
Compound: CrGa2SnBi
Source: the Alexandria database
Functional: PBE
Structure: optimized geometry

Summary:
As for the crystal system: tetragonal. The energy of formation comes out at 1.07 eV per atom.

Cell: 5.463 5.463 6.041 Å, 90.00 90.00 90.00°
Atoms (fractional coordinates):
Cr 0.000 0.000 0.000
Ga 0.000 0.500 0.500
Ga 0.500 0.000 0.500
Sn 0.500 0.500 0.000
Bi 0.500 0.500 0.500

---

8.
Compound: Tm4ZrSc
Source: the Alexandria database
Functional: PBE
Structure: optimized geometry

Summary:
The value obtained for the energy above the most stable polymorph in this dataset is 0.581 eV/atom. As for the crystal system: monoclinic. The energy of formation comes out at 0.73 eV per atom.

Cell: 5.138 5.138 9.171 Å, 106.21 106.21 60.00°
Atoms (fractional coordinates):
Tm 0.121 0.121 0.361
Tm 0.374 0.374 0.122
Tm 0.626 0.626 0.878
Tm 0.879 0.879 0.639
Zr 0.000 0.000 0.000
Sc 0.500 0.500 0.500

---

9.
Compound: Sc4CdIn
Source: the Alexandria database
Functional: PBE
Structure: optimized geometry

Summary:
The value obtained for the energy above the most stable polymorph in this dataset is 0.166 eV/atom. As for the crystal system: cubic. The energy of formation comes out at 0.13 eV per atom.

Cell: 5.884 5.884 5.884 Å, 60.00 60.00 60.00°
Atoms (fractional coordinates):
Sc 0.125 0.125 0.125
Sc 0.125 0.125 0.624
Sc 0.125 0.624 0.125
Sc 0.624 0.125 0.125
Cd 0.750 0.750 0.750
In 0.500 0.500 0.500

---

10.
Compound: KBi8Pd4
Source: the Alexandria database
Functional: PBE
Structure: optimized geometry

Summary:
As for the crystal system: trigonal. The energy of formation comes out at -0.13 eV per atom.

Cell: 8.762 8.762 8.762 Å, 60.16 60.16 60.16°
Atoms (fractional coordinates):
K 0.000 0.000 0.000
Bi 0.278 0.278 0.278
Bi 0.280 0.280 0.667
Bi 0.280 0.667 0.280
Bi 0.333 0.720 0.720
Bi 0.667 0.280 0.280
Bi 0.720 0.333 0.720
Bi 0.720 0.720 0.333
Bi 0.722 0.722 0.722
Pd 0.000 0.500 0.500
Pd 0.500 0.000 0.500
Pd 0.500 0.500 0.000
Pd 0.500 0.500 0.500

---

11.
Compound: BeTl2Pt
Source: the Alexandria database
Functional: PBE
Structure: optimized geometry

Summary:
The value obtained for the energy above the most stable polymorph in this dataset is 0.552 eV/atom. As for the crystal system: orthorhombic. The energy of formation comes out at 0.46 eV per atom.

Cell: 5.263 5.263 5.263 Å, 140.35 120.45 73.93°
Atoms (fractional coordinates):
Be 0.000 0.000 0.000
Tl 0.233 0.733 0.500
Tl 0.767 0.267 0.500
Pt 0.500 0.500 0.000

---

12.
Compound: Si3N4
Source: the Alexandria database
Functional: PBE
Structure: optimized geometry

Summary:
The value obtained for the energy above the most stable polymorph in this dataset is 0.147 eV/atom. As for the crystal system: cubic. As for the formation energy from raw total energies: -953 meV per atom.

Cell: 5.506 5.506 5.506 Å, 60.00 60.00 60.00°
Atoms (fractional coordinates):
Si 0.000 0.000 0.000
Si 0.000 0.000 0.500
Si 0.000 0.500 0.000
Si 0.375 0.375 0.375
Si 0.500 0.000 0.000
Si 0.625 0.625 0.625
N 0.228 0.757 0.757
N 0.243 0.243 0.243
N 0.243 0.243 0.772
N 0.243 0.772 0.243
N 0.757 0.228 0.757
N 0.757 0.757 0.228
N 0.757 0.757 0.757
N 0.772 0.243 0.243

---

13.
Compound: YErPt4
Source: the Alexandria database
Functional: PBE
Structure: optimized geometry

Summary:
As for the crystal system: cubic. The energy of formation comes out at -1.12 eV per atom.

Cell: 5.430 5.430 5.430 Å, 60.00 60.00 60.00°
Atoms (fractional coordinates):
Y 0.000 0.000 0.000
Er 0.250 0.250 0.250
Pt 0.125 0.625 0.625
Pt 0.625 0.125 0.625
Pt 0.625 0.625 0.125
Pt 0.625 0.625 0.625

---

14.
Compound: ScNbTe3
Source: the Alexandria database
Functional: PBE
Structure: optimized geometry

Summary:
The value obtained for the energy above the most stable polymorph in this dataset is 0.000 eV/atom. As for the crystal system: cubic. As for the formation energy from raw total energies: 132 meV per atom.

Cell: 5.413 5.413 5.413 Å, 90.00 90.00 90.00°
Atoms (fractional coordinates):
Sc 0.000 0.000 0.000
Nb 0.500 0.500 0.500
Te 0.000 0.500 0.500
Te 0.500 0.000 0.500
Te 0.500 0.500 0.000

---

15.
Compound: MnNbAs
Source: the Alexandria database
Functional: PBE
Structure: optimized geometry

Summary:
As for the crystal system: cubic. The energy of formation comes out at 0.29 eV per atom.

Cell: 4.312 4.312 4.312 Å, 60.00 60.00 60.00°
Atoms (fractional coordinates):
Mn 0.000 0.000 0.000
Nb 0.750 0.750 0.750
As 0.500 0.500 0.500

---

16.
Compound: VWS
Source: the Alexandria database
Functional: PBE
Structure: optimized geometry

Summary:
The value obtained for the energy above the most stable polymorph in this dataset is 0.525 eV/atom. As for the crystal system: trigonal. As for the formation energy from raw total energies: 57 meV per atom.

Cell: 3.109 3.109 5.404 Å, 90.00 90.00 120.00°
Atoms (fractional coordinates):
V 0.000 0.000 0.000
W 0.333 0.667 0.667
S 0.667 0.333 0.322

---

17.
Compound: Na2In4Pb5
Source: the Alexandria database
Functional: PBE
Structure: optimized geometry

Summary:
As for the crystal system: monoclinic. The energy of formation comes out at -0.01 eV per atom.

Cell: 10.828 10.828 6.551 Å, 97.70 97.70 26.71°
Atoms (fractional coordinates):
Na 0.086 0.086 0.073
Na 0.914 0.914 0.927
In 0.218 0.218 0.381
In 0.476 0.476 0.204
In 0.524 0.524 0.796
In 0.782 0.782 0.619
Pb 0.000 0.000 0.500
Pb 0.304 0.304 0.005
Pb 0.374 0.374 0.520
Pb 0.626 0.626 0.480
Pb 0.696 0.696 0.995

---

18.
Compound: Sr3Tl4Pt4
Source: the Alexandria database
Functional: PBE
Structure: optimized geometry

Summary:
As for the crystal system: orthorhombic. The energy of formation comes out at -0.55 eV per atom.

Cell: 8.956 8.956 8.956 Å, 151.11 125.35 62.99°
Atoms (fractional coordinates):
Sr 0.000 0.000 0.000
Sr 0.377 0.877 0.500
Sr 0.623 0.123 0.500
Tl 0.031 0.332 0.699
Tl 0.367 0.668 0.699
Tl 0.633 0.332 0.301
Tl 0.969 0.668 0.301
Pt 0.218 0.218 0.000
Pt 0.330 0.500 0.830
Pt 0.670 0.500 0.170
Pt 0.782 0.782 0.000

---

19.
Compound: KAcP
Source: the Alexandria database
Functional: PBE
Structure: optimized geometry

Summary:
The value obtained for the energy above the most stable polymorph in this dataset is 0.000 eV/atom. As for the crystal system: trigonal. The energy of formation comes out at -0.61 eV per atom.

Cell: 4.524 4.524 7.866 Å, 90.00 90.00 120.00°
Atoms (fractional coordinates):
K 0.000 0.000 0.000
Ac 0.667 0.333 0.558
P 0.333 0.667 0.724

---

20.
Compound: SrReW2
Source: the Alexandria database
Functional: PBE
Structure: optimized geometry

Summary:
The value obtained for the energy above the most stable polymorph in this dataset is 0.003 eV/atom. As for the crystal system: tetragonal. The energy of formation comes out at 0.75 eV per atom.

Cell: 3.163 3.163 8.097 Å, 90.00 90.00 90.00°
Atoms (fractional coordinates):
Sr 0.000 0.000 0.000
Re 0.500 0.500 0.693
W 0.000 0.000 0.518
W 0.500 0.500 0.325

---

21.
Compound: OsC2
Source: the Alexandria database
Functional: PBE
Structure: optimized geometry

Summary:
The value obtained for the energy above the most stable polymorph in this dataset is 1.283 eV/atom. As for the crystal system: tetragonal. The energy of formation comes out at 1.85 eV per atom.

Cell: 2.973 2.973 3.966 Å, 90.00 90.00 90.00°
Atoms (fractional coordinates):
Os 0.000 0.000 0.000
C 0.000 0.000 0.500
C 0.500 0.500 0.000

---

22.
Compound: Cs3Ac3CrS8
Source: the Alexandria database
Functional: PBE
Structure: optimized geometry

Summary:
As for the crystal system: trigonal. As for the formation energy from raw total energies: -1484 meV per atom.

Cell: 9.591 9.591 9.591 Å, 52.67 52.67 52.67°
Atoms (fractional coordinates):
Cs 0.000 0.500 0.500
Cs 0.500 0.000 0.500
Cs 0.500 0.500 0.000
Ac 0.000 0.000 0.500
Ac 0.000 0.500 0.000
Ac 0.500 0.000 0.000
Cr 0.500 0.500 0.500
S 0.233 0.233 0.233
S 0.274 0.697 0.697
S 0.303 0.303 0.726
S 0.303 0.726 0.303
S 0.697 0.274 0.697
S 0.697 0.697 0.274
S 0.726 0.303 0.303
S 0.767 0.767 0.767

---

23.
Compound: RbTc5S8
Source: the Alexandria database
Functional: PBE
Structure: optimized geometry

Summary:
As for the crystal system: monoclinic. As for the formation energy from raw total energies: -526 meV per atom.

Cell: 10.565 10.565 9.226 Å, 107.50 107.50 17.00°
Atoms (fractional coordinates):
Rb 0.000 0.000 0.000
Tc 0.115 0.115 0.560
Tc 0.203 0.203 0.859
Tc 0.485 0.485 0.481
Tc 0.767 0.767 0.108
Tc 0.857 0.857 0.404
S 0.037 0.037 0.682
S 0.265 0.265 0.323
S 0.317 0.317 0.990
S 0.395 0.395 0.603
S 0.577 0.577 0.360
S 0.652 0.652 0.977
S 0.707 0.707 0.646
S 0.934 0.934 0.278

---

24.
Compound: Np5Se7
Source: the Alexandria database
Functional: PBE
Structure: optimized geometry

Summary:
As for the crystal system: monoclinic. As for the formation energy from raw total energies: -1129 meV per atom.

Cell: 7.026 7.026 12.097 Å, 104.28 104.28 33.38°
Atoms (fractional coordinates):
Np 0.000 0.000 0.000
Np 0.118 0.118 0.426
Np 0.302 0.302 0.188
Np 0.698 0.698 0.812
Np 0.882 0.882 0.574
Se 0.039 0.039 0.783
Se 0.263 0.263 0.653
Se 0.343 0.343 0.949
Se 0.500 0.500 0.500
Se 0.657 0.657 0.051
Se 0.737 0.737 0.347
Se 0.961 0.961 0.217

---

25.
Compound: La2Be3CuGe4
Source: the Alexandria database
Functional: PBE
Structure: optimized geometry

Summary:
As for the crystal system: tetragonal. The energy of formation comes out at -0.45 eV per atom.

Cell: 4.212 4.212 9.761 Å, 90.00 90.00 90.00°
Atoms (fractional coordinates):
La 0.000 0.500 0.250
La 0.500 0.000 0.750
Be 0.000 0.000 0.000
Be 0.000 0.500 0.625
Be 0.500 0.000 0.375
Cu 0.500 0.500 0.000
Ge 0.000 0.000 0.500
Ge 0.000 0.500 0.865
Ge 0.500 0.000 0.135
Ge 0.500 0.500 0.500